1.
! GGA-PBE Np2Si7Ni12, relaxed; values from VASP
! E_form (uncorrected)   -507 meV per atom
! SG   P-3, No. 147
! Crystal system   trigonal
&SYSTEM
  ibrav = 0, nat = 21, ntyp = 3
/
ATOMIC_SPECIES
Np 237.00 Np.upf
Si 28.09 Si.upf
Ni 58.69 Ni.upf
CELL_PARAMETERS angstrom
9.343 0.000 0.000
-4.671 8.091 0.000
0.000 0.000 3.632
ATOMIC_POSITIONS crystal
Np 0.333 0.667 0.247
Np 0.667 0.333 0.753
Si 0.000 0.000 0.500
Si 0.113 0.403 0.749
Si 0.290 0.887 0.749
Si 0.403 0.290 0.251
Si 0.597 0.710 0.749
Si 0.710 0.113 0.251
Si 0.887 0.597 0.251
Ni 0.056 0.620 0.752
Ni 0.117 0.858 0.249
Ni 0.142 0.259 0.249
Ni 0.259 0.117 0.751
Ni 0.380 0.436 0.752
Ni 0.436 0.056 0.248
Ni 0.564 0.944 0.752
Ni 0.620 0.564 0.248
Ni 0.741 0.883 0.249
Ni 0.858 0.741 0.751
Ni 0.883 0.142 0.751
Ni 0.944 0.380 0.248



2.
! GGA-PBE CeEr2Te2, relaxed; values from VASP
! E_form (uncorrected)   -772 meV per atom
! SG   C2/c, No. 15
! Crystal system   monoclinic
&SYSTEM
  ibrav = 0, nat = 10, ntyp = 3
/
ATOMIC_SPECIES
Ce 140.12 Ce.upf
Er 167.26 Er.upf
Te 127.60 Te.upf
CELL_PARAMETERS angstrom
5.154 -5.976 0.000
5.154 5.976 0.000
-3.096 0.000 5.105
ATOMIC_POSITIONS crystal
Ce 0.100 0.900 0.750
Ce 0.900 0.100 0.250
Er 0.219 0.398 0.019
Er 0.398 0.219 0.519
Er 0.602 0.781 0.481
Er 0.781 0.602 0.981
Te 0.191 0.809 0.250
Te 0.379 0.621 0.750
Te 0.621 0.379 0.250
Te 0.809 0.191 0.750



3.
! GGA-PBE Tl2CdBi, relaxed; values from VASP
! SG   R3m, No. 160
! Crystal system   trigonal
! Energy relative to the lowest polymorph listed for this composition   0.38 eV/f.u.
! Formation energy   0.11 eV/atom
&SYSTEM
  ibrav = 0, nat = 4, ntyp = 3
/
ATOMIC_SPECIES
Tl 204.38 Tl.upf
Cd 112.41 Cd.upf
Bi 208.98 Bi.upf
CELL_PARAMETERS angstrom
2.324 1.342 7.029
-2.324 1.342 7.029
0.000 -2.684 7.029
ATOMIC_POSITIONS crystal
Tl 0.000 0.000 0.000
Tl 0.173 0.173 0.173
Cd 0.588 0.588 0.588
Bi 0.422 0.422 0.422



4.
! GGA-PBE BeRePb2, relaxed; values from VASP
! SG   Cm, No. 8
! Crystal system   monoclinic
! Formation energy   0.77 eV/atom
&SYSTEM
  ibrav = 0, nat = 4, ntyp = 3
/
ATOMIC_SPECIES
Be 9.01 Be.upf
Re 186.21 Re.upf
Pb 207.20 Pb.upf
CELL_PARAMETERS angstrom
6.621 -1.699 0.000
6.621 1.699 0.000
-1.293 0.000 3.962
ATOMIC_POSITIONS crystal
Be 0.000 0.000 0.000
Re 0.619 0.619 0.118
Pb 0.195 0.195 0.693
Pb 0.436 0.436 0.437



5.
! GGA-PBE LaHf2ScSn, relaxed; values from VASP
! SG   P4/mmm, No. 123
! Crystal system   tetragonal
! Formation energy   0.79 eV/atom
&SYSTEM
  ibrav = 0, nat = 5, ntyp = 4
/
ATOMIC_SPECIES
La 138.91 La.upf
Hf 178.49 Hf.upf
Sc 44.96 Sc.upf
Sn 118.71 Sn.upf
CELL_PARAMETERS angstrom
5.329 0.000 0.000
0.000 5.329 0.000
0.000 0.000 5.860
ATOMIC_POSITIONS crystal
La 0.000 0.000 0.000
Hf 0.000 0.500 0.500
Hf 0.500 0.000 0.500
Sc 0.500 0.500 0.000
Sn 0.000 0.000 0.500



6.
! GGA-PBE Tc2CO, relaxed; values from VASP
! E_form (uncorrected)   449 meV per atom
! SG   Fm-3m, No. 225
! Crystal system   cubic
! Energy relative to the lowest polymorph listed for this composition   1.35 eV/f.u.
&SYSTEM
  ibrav = 0, nat = 4, ntyp = 3
/
ATOMIC_SPECIES
Tc 98.00 Tc.upf
C 12.01 C.upf
O 16.00 O.upf
CELL_PARAMETERS angstrom
0.000 2.707 2.707
2.707 0.000 2.707
2.707 2.707 0.000
ATOMIC_POSITIONS crystal
Tc 0.250 0.250 0.250
Tc 0.750 0.750 0.750
C 0.000 0.000 0.000
O 0.500 0.500 0.500



7.
! GGA-PBE Pu3B2Rh4, relaxed; values from VASP
! SG   C2/m, No. 12
! Crystal system   monoclinic
! Formation energy   -0.39 eV/atom
&SYSTEM
  ibrav = 0, nat = 9, ntyp = 3
/
ATOMIC_SPECIES
Pu 244.00 Pu.upf
B 10.81 B.upf
Rh 102.91 Rh.upf
CELL_PARAMETERS angstrom
5.256 -1.907 0.000
5.256 1.907 0.000
-3.503 0.000 7.716
ATOMIC_POSITIONS crystal
Pu 0.000 0.000 0.000
Pu 0.395 0.395 0.316
Pu 0.605 0.605 0.684
B 0.324 0.324 0.679
B 0.676 0.676 0.321
Rh 0.149 0.149 0.415
Rh 0.287 0.287 0.908
Rh 0.713 0.713 0.092
Rh 0.851 0.851 0.585



8.
! GGA-PBE DyPu2VN4, relaxed; values from VASP
! E_form (uncorrected)   -1140 meV per atom
! SG   Cmcm, No. 63
! Crystal system   orthorhombic
&SYSTEM
  ibrav = 0, nat = 16, ntyp = 4
/
ATOMIC_SPECIES
Dy 162.50 Dy.upf
Pu 244.00 Pu.upf
V 50.94 V.upf
N 14.01 N.upf
CELL_PARAMETERS angstrom
1.665 -5.727 0.000
1.665 5.727 0.000
0.000 0.000 11.913
ATOMIC_POSITIONS crystal
Dy 0.099 0.901 0.750
Dy 0.901 0.099 0.250
Pu 0.367 0.633 0.544
Pu 0.367 0.633 0.956
Pu 0.633 0.367 0.044
Pu 0.633 0.367 0.456
V 0.165 0.835 0.250
V 0.835 0.165 0.750
N 0.000 0.000 0.000
N 0.000 0.000 0.500
N 0.270 0.730 0.131
N 0.270 0.730 0.369
N 0.441 0.559 0.750
N 0.559 0.441 0.250
N 0.730 0.270 0.631
N 0.730 0.270 0.869



Number 1: magnetic moment 7.90 Bohr magnetons per cell. Number 2: magnetic moment 2.41 Bohr magnetons per cell. Number 3: magnetic moment 0.00 Bohr magnetons per cell. Number 4: magnetic moment 0.00 Bohr magnetons per cell. Number 5: magnetic moment 0.00 Bohr magnetons per cell. Number 6: magnetic moment 0.00 Bohr magnetons per cell. Number 7: magnetic moment 15.52 Bohr magnetons per cell. Number 8: magnetic moment 20.69 Bohr magnetons per cell.